1.
Density functional theory data (PBE-GGA) for a geometry-optimized KMoPt3 structure.

Offset from the most stable computed form   0.00 eV/f.u.
Total magnetic moment   0.00 Bohr magnetons per cell
E_tot   -27.044 eV per cell
Space group   Pm-3m (221)

a b c (Å): 4.934 4.934 4.934
angles (deg): 90.00 90.00 90.00
Fractional coordinates of all 5 atoms:
K  0.000  0.000  0.000
Mo  0.500  0.500  0.500
Pt  0.000  0.500  0.500
Pt  0.500  0.000  0.500
Pt  0.500  0.500  0.000

=====

2.
Density functional theory data (PBE-GGA) for a geometry-optimized MgIrPt2 structure.

Total magnetic moment   0.00 Bohr magnetons per cell
E_tot   -47.583 eV per cell
Space group   I-4m2 (119)

a b c (Å): 3.958 3.958 7.866
angles (deg): 90.00 90.00 90.00
Fractional coordinates of all 8 atoms:
Mg  0.000  0.000  0.000
Mg  0.500  0.500  0.500
Ir  0.000  0.500  0.250
Ir  0.500  0.000  0.750
Pt  0.000  0.000  0.500
Pt  0.000  0.500  0.750
Pt  0.500  0.000  0.250
Pt  0.500  0.500  0.000